Arrangement A

A geometry-optimized KNiGe3 structure. Source: Alexandria via LeMat-Bulk, functional PBE.

abc: 4.7875 4.7875 4.7875
angles: 90.00 90.00 90.00
Last column: nearest neighbours and their distance in Å.
Space group Pm-3m (No. 221)
One atom of each set of equivalent atoms:
K 0.0000 0.0000 0.0000 [1 per cell]  12 Ge 3.39
Ni 0.5000 0.5000 0.5000 [1 per cell]  6 Ge 2.39
Ge 0.0000 0.5000 0.5000 [3 per cell]  2 Ni 2.39

=====

Arrangement B

A geometry-optimized KNiGe3 structure. Source: Alexandria via LeMat-Bulk, functional PBE.

abc: 5.3464 5.3464 5.3464
angles: 90.00 90.00 90.00
Last column: nearest neighbours and their distance in Å.
Space group Pm-3m (No. 221)
One atom of each set of equivalent atoms:
K 0.0000 0.0000 0.0000 [1 per cell]  6 Ge 2.67
Ni 0.5000 0.5000 0.5000 [1 per cell]  12 Ge 3.78
Ge 0.0000 0.0000 0.5000 [3 per cell]  2 K 2.67

=====

Which of them is the least stable? Correct choice: arrangement B.

=====

Arrangement A

A geometry-optimized KNi2Ge2 structure. Source: Alexandria via LeMat-Bulk, functional PBE.

abc: 7.8763 7.8763 2.7071
angles: 90.00 90.00 90.00
Last column: nearest neighbours and their distance in Å.
Space group P4/mbm (No. 127)
One atom of each set of equivalent atoms:
K 0.0000 0.0000 0.0000 [2 per cell]  2 K 2.71
Ni 0.1389 0.3611 0.5000 [4 per cell]  4 Ge 2.55, 2 Ni 2.71
Ge 0.1349 0.6349 0.0000 [4 per cell]  4 Ni 2.55, 2 Ge 2.71

=====

Arrangement B

A geometry-optimized KNi2Ge2 structure. Source: Alexandria via LeMat-Bulk, functional PBE.

abc: 7.7825 7.7825 2.7440
angles: 90.00 90.00 90.00
Last column: nearest neighbours and their distance in Å.
Space group P4/mbm (No. 127)
One atom of each set of equivalent atoms:
K 0.0000 0.0000 0.0000 [2 per cell]  2 K 2.74, 4 Ni 3.06
Ni 0.1276 0.3724 0.0000 [4 per cell]  4 Ge 2.52, 3 Ni 2.74-2.81
Ge 0.1443 0.6443 0.5000 [4 per cell]  4 Ni 2.52, 2 Ge 2.74

=====

Which of them is the least stable? Correct choice: arrangement A.